(1)
This record from the Alexandria database describes Sr8CuW3O18 at its PBEsol-relaxed geometry. The functional is meta-GGA SCAN.

Geometry as CIF:
```
data_Sr8CuW3O18
_chemical_formula_sum 'Sr16 Cu2 W6 O36'
_cell_length_a 5.8667
_cell_length_b 10.2552
_cell_length_c 15.5870
_cell_angle_alpha 70.95
_cell_angle_beta 79.20
_cell_angle_gamma 89.95
_space_group_name_H-M_alt 'P 1'
_space_group_IT_number 1
_space_group_name_Hall 'P 1'
loop_
_atom_site_label
_atom_site_fract_x
_atom_site_fract_y
_atom_site_fract_z
Sr1 0.0000 0.0000 0.0000
Sr2 0.0382 0.3516 0.9209
Sr3 0.0697 0.7503 0.8288
Sr4 0.1625 0.4516 0.6642
Sr5 0.2010 0.8357 0.5903
Sr6 0.2358 0.2301 0.5098
Sr7 0.3340 0.0480 0.3225
Sr8 0.4105 0.7482 0.1708
Sr9 0.4913 0.4409 0.0259
Sr10 0.5322 0.8329 0.9254
Sr11 0.5841 0.2407 0.8242
Sr12 0.6569 0.0297 0.6613
Sr13 0.7507 0.7462 0.4999
Sr14 0.8126 0.4257 0.3570
Sr15 0.8650 0.8398 0.2604
Sr16 0.9115 0.2365 0.1787
Cu1 0.3749 0.4235 0.2438
Cu2 0.7131 0.4171 0.5741
W1 0.1087 0.0882 0.7589
W2 0.2859 0.5803 0.4255
W3 0.4547 0.0872 0.0902
W4 0.6071 0.5834 0.7580
W5 0.7790 0.0857 0.4279
W6 0.9545 0.5829 0.0967
O1 0.0003 0.4429 0.4868
O2 0.0625 0.1987 0.3837
O3 0.0642 0.4435 0.0417
O4 0.0831 0.4599 0.2071
O5 0.1463 0.6774 0.3289
O6 0.1609 0.6674 0.5101
O7 0.1703 0.9655 0.1362
O8 0.2254 0.9577 0.8635
O9 0.2356 0.9690 0.6877
O10 0.2451 0.6804 0.0537
O11 0.3295 0.1899 0.9850
O12 0.3367 0.2067 0.1574
O13 0.3388 0.4543 0.7922
O14 0.3762 0.4441 0.3605
O15 0.3892 0.1990 0.7102
O16 0.4402 0.4440 0.5232
O17 0.4779 0.6893 0.8294
O18 0.4946 0.6838 0.6509
O19 0.5003 0.9605 0.4623
O20 0.5574 0.9678 0.2004
O21 0.5749 0.6763 0.3821
O22 0.5807 0.9562 0.0288
O23 0.6527 0.2021 0.3271
O24 0.6551 0.1922 0.5028
O25 0.6632 0.4527 0.1582
O26 0.7059 0.4515 0.8643
O27 0.7383 0.4503 0.6827
O28 0.7487 0.1922 0.0474
O29 0.8229 0.6687 0.9923
O30 0.8252 0.6952 0.1647
O31 0.8283 0.9604 0.8009
O32 0.8835 0.9595 0.5352
O33 0.9113 0.6697 0.7161
O34 0.9228 0.9678 0.3577
O35 0.9663 0.1997 0.6636
O36 0.9892 0.1860 0.8420
```

Properties
Total magnetic moment in μB/atom: 0.03
Calculated volume in A^3/atom: 14.481
Raw formation energy in eV/atom: -2.7691
ρ in g/cm3: 6.13

(2)
This record from the Alexandria database describes Sr2CuWO6 at its PBEsol-relaxed geometry. The functional is meta-GGA SCAN.

Geometry as CIF:
```
data_Sr2CuWO6
_chemical_formula_sum 'Sr4 Cu2 W2 O12'
_cell_length_a 5.3614
_cell_length_b 5.3614
_cell_length_c 8.5463
_cell_angle_alpha 90.00
_cell_angle_beta 90.00
_cell_angle_gamma 90.00
_space_group_name_H-M_alt 'I 4/m'
_space_group_IT_number 87
_space_group_name_Hall '-I 4'
loop_
_atom_site_label
_atom_site_fract_x
_atom_site_fract_y
_atom_site_fract_z
Sr1 0.0000 0.5000 0.2500
Cu1 0.0000 0.0000 0.0000
W1 0.0000 0.0000 0.5000
O1 0.0000 0.0000 0.2744
O2 0.1963 0.7003 0.5000
```

Properties
Total magnetic moment in μB/atom: 0.10
Calculated volume in A^3/atom: 12.283
Raw formation energy in eV/atom: -2.4993
ρ in g/cm3: 7.01

(3)
This record from the Alexandria database describes Sr4ZnCuW2O12 at its PBEsol-relaxed geometry. The functional is meta-GGA SCAN.

Geometry as CIF:
```
data_Sr4ZnCuW2O12
_chemical_formula_sum 'Sr4 Zn1 Cu1 W2 O12'
_cell_length_a 5.5299
_cell_length_b 5.5299
_cell_length_c 8.0504
_cell_angle_alpha 90.00
_cell_angle_beta 90.00
_cell_angle_gamma 90.00
_space_group_name_H-M_alt 'P 4/m'
_space_group_IT_number 83
_space_group_name_Hall '-P 4'
loop_
_atom_site_label
_atom_site_fract_x
_atom_site_fract_y
_atom_site_fract_z
Sr1 0.0000 0.5000 0.2492
Zn1 0.0000 0.0000 0.5000
Cu1 0.5000 0.5000 0.0000
W1 0.0000 0.0000 0.0000
W2 0.5000 0.5000 0.5000
O1 0.0000 0.0000 0.2392
O2 0.1984 0.7142 0.0000
O3 0.2110 0.3075 0.5000
O4 0.5000 0.5000 0.2605
```

Properties
Total magnetic moment in μB/atom: 0.05
Calculated volume in A^3/atom: 12.309
Raw formation energy in eV/atom: -2.5801
ρ in g/cm3: 7.01

(4)
This record from the Alexandria database describes Sr9Zn4Cu2O14 at its PBEsol-relaxed geometry. The functional is meta-GGA SCAN.

Geometry as CIF:
```
data_Sr9Zn4Cu2O14
_chemical_formula_sum 'Sr18 Zn8 Cu4 O28'
_cell_length_a 22.0459
_cell_length_b 3.5936
_cell_length_c 11.2514
_cell_angle_alpha 90.00
_cell_angle_beta 98.53
_cell_angle_gamma 90.00
_space_group_name_H-M_alt 'C 1 2/m 1'
_space_group_IT_number 12
_space_group_name_Hall '-C 2y'
loop_
_atom_site_label
_atom_site_fract_x
_atom_site_fract_y
_atom_site_fract_z
Sr1 0.0000 0.0000 0.0000
Sr2 0.0095 0.0000 0.3079
Sr3 0.1862 0.0000 0.7256
Sr4 0.1870 0.0000 0.3980
Sr5 0.1936 0.0000 0.0702
Zn1 0.1027 0.5000 0.5394
Zn2 0.1105 0.5000 0.2029
Cu1 0.1067 0.5000 0.8769
O1 0.0250 0.5000 0.8508
O2 0.0811 0.0000 0.5934
O3 0.0879 0.5000 0.3646
O4 0.0935 0.0000 0.1418
O5 0.1908 0.5000 0.9016
O6 0.1973 0.5000 0.5703
O7 0.2032 0.5000 0.2317
```

Properties
Total magnetic moment in μB/atom: 0.00
Calculated volume in A^3/atom: 15.199
Raw formation energy in eV/atom: -2.3859
ρ in g/cm3: 5.28

(5)
This record from the Alexandria database describes SrZr2CuO at its PBEsol-relaxed geometry. The functional is meta-GGA SCAN.

Geometry as CIF:
```
data_SrZr2CuO
_chemical_formula_sum 'Sr1 Zr2 Cu1 O1'
_cell_length_a 4.2654
_cell_length_b 4.2654
_cell_length_c 5.9134
_cell_angle_alpha 90.00
_cell_angle_beta 90.00
_cell_angle_gamma 90.00
_space_group_name_H-M_alt 'P 4/m m m'
_space_group_IT_number 123
_space_group_name_Hall '-P 4 2'
loop_
_atom_site_label
_atom_site_fract_x
_atom_site_fract_y
_atom_site_fract_z
Sr1 0.0000 0.0000 0.0000
Zr1 0.0000 0.5000 0.5000
Cu1 0.5000 0.5000 0.0000
O1 0.5000 0.5000 0.5000
```

Properties
Total magnetic moment in μB/atom: 0.00
Calculated volume in A^3/atom: 21.517
Raw formation energy in eV/atom: -0.5424
ρ in g/cm3: 5.40

(6)
This record from the Alexandria database describes TaCuO3 at its PBEsol-relaxed geometry. The functional is meta-GGA SCAN.

Geometry as CIF:
```
data_TaCuO3
_chemical_formula_sum 'Ta8 Cu8 O24'
_cell_length_a 9.5086
_cell_length_b 8.5268
_cell_length_c 6.7401
_cell_angle_alpha 90.00
_cell_angle_beta 90.09
_cell_angle_gamma 90.00
_space_group_name_H-M_alt 'C 1 2/m 1'
_space_group_IT_number 12
_space_group_name_Hall '-C 2y'
loop_
_atom_site_label
_atom_site_fract_x
_atom_site_fract_y
_atom_site_fract_z
Ta1 0.0000 0.2005 0.0000
Ta2 0.2489 0.5000 0.7687
Cu1 0.0000 0.1513 0.5000
Cu2 0.2148 0.0000 0.7019
O1 0.0954 0.1640 0.2601
O2 0.1285 0.0000 0.9439
O3 0.1319 0.3391 0.8911
O4 0.1801 0.5000 0.5173
```

Properties
Total magnetic moment in μB/atom: 0.00
Calculated volume in A^3/atom: 13.662
Raw formation energy in eV/atom: -2.2412
ρ in g/cm3: 7.11

(7)
This record from the Alexandria database describes Ta16Cu9O48 at its PBEsol-relaxed geometry. The functional is meta-GGA SCAN.

Geometry as CIF:
```
data_Ta16Cu9O48
_chemical_formula_sum 'Ta64 Cu36 O192'
_cell_length_a 15.0026
_cell_length_b 15.0389
_cell_length_c 15.0536
_cell_angle_alpha 90.00
_cell_angle_beta 90.00
_cell_angle_gamma 90.00
_space_group_name_H-M_alt 'F m m m'
_space_group_IT_number 69
_space_group_name_Hall '-F 2 2'
loop_
_atom_site_label
_atom_site_fract_x
_atom_site_fract_y
_atom_site_fract_z
Ta1 0.1221 0.1234 0.1246
Ta2 0.1240 0.1269 0.3740
Cu1 0.0000 0.0000 0.5000
Cu2 0.0000 0.2496 0.0000
Cu3 0.2491 0.0000 0.5000
Cu4 0.2500 0.0000 0.2500
Cu5 0.2500 0.2500 0.2500
O1 0.0000 0.1463 0.3468
O2 0.0000 0.1480 0.1540
O3 0.0938 0.0000 0.4070
O4 0.0967 0.1595 0.0000
O5 0.0967 0.1608 0.5000
O6 0.0989 0.0000 0.1018
O7 0.1561 0.0921 0.2506
O8 0.1590 0.2498 0.1554
O9 0.2495 0.0952 0.4100
```

Properties
Total magnetic moment in μB/atom: 0.10
Calculated volume in A^3/atom: 11.632
Raw formation energy in eV/atom: -2.5066
ρ in g/cm3: 8.28

(8)
This record from the Alexandria database describes TbCuW2O8 at its PBEsol-relaxed geometry. The functional is meta-GGA SCAN.

Geometry as CIF:
```
data_TbCuW2O8
_chemical_formula_sum 'Tb1 Cu1 W2 O8'
_cell_length_a 4.9977
_cell_length_b 6.0026
_cell_length_c 6.0326
_cell_angle_alpha 109.33
_cell_angle_beta 91.85
_cell_angle_gamma 113.34
_space_group_name_H-M_alt 'P -1'
_space_group_IT_number 2
_space_group_name_Hall '-P 1'
loop_
_atom_site_label
_atom_site_fract_x
_atom_site_fract_y
_atom_site_fract_z
Tb1 0.0000 0.0000 0.0000
Cu1 0.5000 0.0000 0.5000
W1 0.2447 0.4814 0.6697
O1 0.0037 0.2500 0.7829
O2 0.0304 0.6931 0.6689
O3 0.4614 0.2961 0.5235
O4 0.4909 0.2654 0.0693
```

Properties
Total magnetic moment in μB/atom: 0.00
Calculated volume in A^3/atom: 12.832
Raw formation energy in eV/atom: -2.4110
ρ in g/cm3: 7.74

(9)
This record from the Alexandria database describes ZrCuTc2O at its PBEsol-relaxed geometry. The functional is meta-GGA SCAN.

Geometry as CIF:
```
data_ZrCuTc2O
_chemical_formula_sum 'Zr1 Cu1 Tc2 O1'
_cell_length_a 4.8912
_cell_length_b 4.8912
_cell_length_c 3.9296
_cell_angle_alpha 90.00
_cell_angle_beta 90.00
_cell_angle_gamma 90.00
_space_group_name_H-M_alt 'P 4/m m m'
_space_group_IT_number 123
_space_group_name_Hall '-P 4 2'
loop_
_atom_site_label
_atom_site_fract_x
_atom_site_fract_y
_atom_site_fract_z
Zr1 0.0000 0.0000 0.0000
Cu1 0.5000 0.5000 0.5000
Tc1 0.0000 0.5000 0.0000
O1 0.0000 0.0000 0.5000
```

Properties
Total magnetic moment in μB/atom: 1.11
Calculated volume in A^3/atom: 18.802
Raw formation energy in eV/atom: 1.0246
ρ in g/cm3: 6.48

(10)
This record from the Alexandria database describes CuTeO3 at its PBEsol-relaxed geometry. The functional is meta-GGA SCAN.

Geometry as CIF:
```
data_CuTeO3
_chemical_formula_sum 'Cu1 Te1 O3'
_cell_length_a 3.9888
_cell_length_b 3.9888
_cell_length_c 3.9888
_cell_angle_alpha 90.00
_cell_angle_beta 90.00
_cell_angle_gamma 90.00
_space_group_name_H-M_alt 'P m -3 m'
_space_group_IT_number 221
_space_group_name_Hall '-P 4 2 3'
loop_
_atom_site_label
_atom_site_fract_x
_atom_site_fract_y
_atom_site_fract_z
Cu1 0.0000 0.0000 0.0000
Te1 0.5000 0.5000 0.5000
O1 0.0000 0.5000 0.5000
```

Properties
Total magnetic moment in μB/atom: 0.02
Calculated volume in A^3/atom: 12.693
Raw formation energy in eV/atom: -0.3797
ρ in g/cm3: 6.26

(11)
This record from the Alexandria database describes Cu3Te2O10 at its PBEsol-relaxed geometry. The functional is meta-GGA SCAN.

Geometry as CIF:
```
data_Cu3Te2O10
_chemical_formula_sum 'Cu3 Te2 O10'
_cell_length_a 5.1456
_cell_length_b 5.4486
_cell_length_c 7.6301
_cell_angle_alpha 108.09
_cell_angle_beta 96.34
_cell_angle_gamma 106.29
_space_group_name_H-M_alt 'P -1'
_space_group_IT_number 2
_space_group_name_Hall '-P 1'
loop_
_atom_site_label
_atom_site_fract_x
_atom_site_fract_y
_atom_site_fract_z
Cu1 0.0000 0.0000 0.0000
Cu2 0.2967 0.6157 0.0963
Te1 0.1223 0.2114 0.6933
O1 0.0743 0.5533 0.8445
O2 0.0886 0.8252 0.5453
O3 0.1955 0.9512 0.2029
O4 0.3158 0.2237 0.9461
O5 0.4875 0.3637 0.6747
```

Properties
Total magnetic moment in μB/atom: 0.20
Calculated volume in A^3/atom: 12.704
Raw formation energy in eV/atom: -0.7716
ρ in g/cm3: 5.28

(12)
This record from the Alexandria database describes CuTe2O5 at its PBEsol-relaxed geometry. The functional is meta-GGA SCAN.

Geometry as CIF:
```
data_CuTe2O5
_chemical_formula_sum 'Cu4 Te8 O20'
_cell_length_a 6.8614
_cell_length_b 9.3670
_cell_length_c 7.4158
_cell_angle_alpha 90.00
_cell_angle_beta 109.54
_cell_angle_gamma 90.00
_space_group_name_H-M_alt 'P 1 21/c 1'
_space_group_IT_number 14
_space_group_name_Hall '-P 2ybc'
loop_
_atom_site_label
_atom_site_fract_x
_atom_site_fract_y
_atom_site_fract_z
Cu1 0.1565 0.0116 0.2061
Te1 0.1561 0.6786 0.0615
Te2 0.3582 0.2062 0.9024
O1 0.0018 0.1137 0.6881
O2 0.1301 0.6236 0.5049
O3 0.1743 0.1436 0.4134
O4 0.3535 0.1446 0.1576
O5 0.3986 0.6797 0.9595
```

Properties
Total magnetic moment in μB/atom: 0.12
Calculated volume in A^3/atom: 14.037
Raw formation energy in eV/atom: -1.0325
ρ in g/cm3: 5.90